Entry 1:
K2ZrTe: relaxed, PBE-GGA.

total moment = 2.50 μB per formula unit
formation energy (no corrections) = 0.166 eV per atom
uncorrected energy = -0.243 Ry/atom

Cell: 4.835 4.835 6.080 Å, 90.00 90.00 90.00°
Site moments in Bohr magnetons follow the coordinates.
Fractional coordinates of all 4 atoms:
Zr  0.500  0.500  0.750  1.26
K  0.000  0.000  0.010  0.04
K  0.000  0.000  0.490  0.04
Te  0.500  0.500  0.250  -0.05

---

Entry 2:
K2ZrTe: relaxed, PBE-GGA.

total moment = 0.30 μB per formula unit
formation energy (no corrections) = 0.256 eV per atom
uncorrected energy = -0.236 Ry/atom

Cell: 3.326 3.326 12.176 Å, 90.00 90.00 98.74°
Site moments in Bohr magnetons follow the coordinates.
Fractional coordinates of all 4 atoms:
K  0.000  0.000  0.027  0.00
Zr  0.500  0.500  0.750  0.18
K  0.000  0.000  0.473  0.00
Te  0.500  0.500  0.250  0.00

---

Which of these has the highest uncorrected energy?
number 2